1.
12
Lattice="-5.607 -0.361 -1.714 -0.745 -7.326 -6.089 -4.088 -5.204 4.401" Properties=species:S:1:pos:R:3 comment="KNa7Cd4 (PBE, relaxed)" delta_e_f_ev_per_atom=0.001 sg="No. 12" energy_ev_per_atom=-1.17 pbc="T T T"
Na -8.544 -7.048 -0.766
Cd -4.454 -7.602 -3.963
Na -3.103 -3.276 0.772
Cd -8.303 -10.170 -0.898
Na -5.165 -4.388 -2.313
Na -7.337 -9.615 -4.175
Na -1.895 -5.843 -2.637
Cd -5.986 -5.289 0.560
Na -5.275 -8.503 -1.090
Cd -2.137 -2.720 -2.505
K 0.000 0.000 0.000
Na -2.804 -0.180 -0.857



2.
12
Lattice="-4.289 4.084 4.044 0.102 -1.898 2.025 8.757 1.448 0.917" Properties=species:S:1:pos:R:3 comment="GaNiOs (PBE, relaxed)" delta_e_f_ev_per_atom=-0.062 sg="No. 12" energy_ev_per_atom=-6.74 pbc="T T T"
Os 3.344 3.262 2.890
Ni 1.218 2.963 4.621
Ga -0.951 4.148 3.936
Ni 3.352 0.672 2.366
Ni 7.680 2.345 1.812
Os 5.554 2.045 3.543
Os 1.124 2.270 2.072
Os -0.983 1.589 3.444
Ni -3.212 3.188 3.150
Ga 5.419 1.385 1.025
Ga 1.091 -0.289 1.579
Ga 3.479 3.923 5.407



3.
4
Lattice="-0.349 3.544 -0.480 -2.422 1.842 1.911 7.008 3.690 8.703" Properties=species:S:1:pos:R:3 comment="Nd2HoLu (PBE, relaxed)" relative_energy_mev_per_atom=0 delta_e_f_ev_per_atom=0.018 sg="No. 166" energy_ev_per_atom=-4.64 pbc="T T T"
Nd 3.162 6.803 7.584
Lu 2.119 4.538 5.067
Nd 1.075 2.273 2.550
Ho 0.000 0.000 0.000



4.
6
Lattice="-2.307 -0.299 -2.567 -1.114 -5.035 -0.750 -4.912 -0.704 4.498" Properties=species:S:1:pos:R:3 comment="HfNbAs (PBE, relaxed)" delta_e_f_ev_per_atom=-0.511 sg="No. 8" energy_ev_per_atom=-8.74 pbc="T T T"
Nb -1.413 -3.843 -0.729
As -3.276 -4.975 1.077
Hf -1.889 -1.143 -0.616
Nb -4.673 -0.786 1.843
As -6.392 -3.036 1.312
Hf -4.388 -3.032 -0.488



5.
5
Lattice="-2.337 -3.038 2.231 3.679 -1.268 2.127 -0.700 2.538 2.724" Properties=species:S:1:pos:R:3 comment="Zr2HRuPt (PBE, relaxed)" relative_energy_mev_per_atom=0 sg="No. 123" energy_ev_per_atom=-7.78 pbc="T T T"
Zr -1.168 -1.519 1.116
Ru -0.350 1.269 1.362
H 0.000 0.000 0.000
Pt 0.321 -0.884 3.541
Zr 1.840 -0.634 1.063



6.
5
Lattice="5.943 0.000 0.000 0.000 5.943 0.000 0.000 0.000 4.003" Properties=species:S:1:pos:R:3 comment="RbPdI2O (PBE, relaxed)" relative_energy_mev_per_atom=0 sg="No. 123" energy_ev_per_atom=-3.38 pbc="T T T"
I 2.971 0.000 0.000
O 0.000 0.000 2.001
Pd 0.000 0.000 0.000
Rb 2.971 2.971 2.001
I 0.000 2.971 0.000



7.
18
Lattice="-1.582 5.645 -0.280 -2.460 -3.543 3.980 6.338 2.062 5.753" Properties=species:S:1:pos:R:3 comment="PaInIO6 (PBE, relaxed)" sg="No. 163" energy_ev_per_atom=-6.42 pbc="T T T"
O 2.286 5.023 7.364
Pa -0.583 0.035 3.998
O 4.169 2.517 6.188
I 2.586 1.066 6.875
I -0.290 3.098 2.578
O 4.407 5.570 4.832
O -2.111 -1.406 4.621
In 3.169 1.031 2.876
Pa 2.879 4.129 5.455
O 3.464 3.157 3.581
O 0.010 -0.860 2.089
O 1.643 5.752 4.656
O -1.168 1.007 5.872
In 0.000 0.000 0.000
O -1.873 1.646 3.265
O 1.303 2.753 6.106
O 0.653 -1.588 4.796
O 0.993 1.410 3.347



8.
12
Lattice="-7.224 1.745 1.327 3.161 1.075 -5.683 -2.707 -12.178 1.323" Properties=species:S:1:pos:R:3 comment="Ac3PrEr2 (PBE, relaxed)" delta_e_f_ev_per_atom=0.057 sg="No. 15" energy_ev_per_atom=-4.31 pbc="T T T"
Ac -2.632 -6.248 -0.743
Ac -2.036 -0.879 -4.521
Ac 0.521 -0.593 -1.734
Ac -4.734 -8.479 1.488
Pr -8.346 -7.607 2.152
Er -0.536 -4.012 -2.970
Er -3.690 -9.669 -1.978
Ac -7.291 -8.765 -1.299
Er -6.234 -5.345 -0.063
Er -3.080 0.311 -1.055
Ac -4.138 -3.110 -2.290
Pr 1.576 -1.751 -5.185